[1]
# LaAl4CuPd2

An optimized crystal structure of LaAl4CuPd2 (GGA-PBE, Alexandria).

For the total energy, the calculation gives -4.93 eV per atom.

The structure belongs to space group R-3m (No. 166, hexagonal axes); the cell edges are 4.2785, 4.2785 and 27.3578 Å and the angles 90.00°, 90.00° and 120.00°. Symmetry generates all atoms from La at (0.0000, 0.0000, 0.0000), Al at (0.0000, 0.0000, 0.1334), Al at (0.0000, 0.0000, 0.4075), Cu at (0.0000, 0.0000, 0.5000) and Pd at (0.0000, 0.0000, 0.2325).


[2]
# Cd4InAs

An optimized crystal structure of Cd4InAs (GGA-PBE, Alexandria).

For the total energy, the calculation gives -1.64 eV per atom.

The structure belongs to space group F-43m (No. 216); the cell edges are 8.310, 8.310 and 8.310 Å and the angles 90.00°, 90.00° and 90.00°. Symmetry generates all atoms from Cd at (0.125, 0.125, 0.125), In at (0.250, 0.250, 0.750) and As at (0.000, 0.000, 0.500).


[3]
# SrBe2Pb

An optimized crystal structure of SrBe2Pb (GGA-PBE, Alexandria).

For the total energy, the calculation gives -2.63 eV per atom.

The structure belongs to space group P4/mmm (No. 123); the cell edges are 4.667, 4.667 and 4.072 Å and the angles 90.00°, 90.00° and 90.00°. Symmetry generates all atoms from Sr at (0.000, 0.000, 0.000), Be at (0.000, 0.500, 0.500) and Pb at (0.500, 0.500, 0.000).


D(E_F) for the records above, in order: 9.81, 13.61, 2.25 states/eV/cell
Energy of formation from the pure elements for the records above, in order: -632, 197, 584 meV/atom